This record from Alexandria describes an optimized crystal structure of NaLiS3. The functional is PBE.

Spin magnetization = 0.00 μB/cell
Formation energy without anion corrections = 8 kJ/mol of formula units
Fermi-level density of states = 4.011 states/eV/f.u.

a b c (Å): 4.577 4.577 4.577
angles (deg): 90.00 90.00 90.00
Fractional positions:
Na (0.000, 0.000, 0.000)
Li (0.500, 0.500, 0.500)
S (0.000, 0.500, 0.500)
S (0.500, 0.000, 0.500)
S (0.500, 0.500, 0.000)

=====

This record from Alexandria describes an optimized crystal structure of KBePO4. The functional is PBE.

Spin magnetization = 0.00 μB/cell
Formation energy without anion corrections = -1626 kJ/mol of formula units
Fermi-level density of states = 0.000 states/eV/f.u.

a b c (Å): 5.735 5.113 8.366
angles (deg): 90.00 104.68 90.00
Fractional positions:
K (0.243, 0.250, 0.481)
K (0.757, 0.750, 0.519)
Be (0.377, 0.750, 0.117)
Be (0.623, 0.250, 0.883)
P (0.419, 0.750, 0.777)
P (0.581, 0.250, 0.223)
O (0.225, 0.750, 0.615)
O (0.313, 0.750, 0.929)
O (0.416, 0.005, 0.220)
O (0.416, 0.495, 0.220)
O (0.584, 0.505, 0.780)
O (0.584, 0.995, 0.780)
O (0.687, 0.250, 0.071)
O (0.775, 0.250, 0.385)

=====

This record from Alexandria describes an optimized crystal structure of TbHo8Mg2. The functional is PBE.

Spin magnetization = 0.00 μB/cell
Calculated formation energy = 0.1493 eV per atom
Fermi-level density of states = 13.918 states/eV/f.u.

a b c (Å): 8.836 8.836 5.611
angles (deg): 102.18 102.18 121.09
Fractional positions:
Tb (0.000, 0.000, 0.000)
Ho (0.098, 0.321, 0.630)
Ho (0.213, 0.787, 0.000)
Ho (0.321, 0.098, 0.630)
Ho (0.406, 0.406, 0.203)
Ho (0.594, 0.594, 0.797)
Ho (0.679, 0.902, 0.370)
Ho (0.787, 0.213, 0.000)
Ho (0.902, 0.679, 0.370)
Mg (0.307, 0.693, 0.500)
Mg (0.693, 0.307, 0.500)